#i
! PBE As2Au2I, relaxed; values from VASP
&SYSTEM
  ibrav = 0, nat = 10, ntyp = 3
/
ATOMIC_SPECIES
As 74.92 As.upf
I 126.90 I.upf
Au 196.97 Au.upf
ATOMIC_POSITIONS angstrom
As -3.2775 -1.5049 -1.0983
As -2.9354 -7.2801 -3.6809
As -5.3969 -3.6136 -4.4346
As -0.8160 -5.1714 -0.3446
I 0.0000 0.0000 0.0000
I -1.6988 -3.7188 -3.7096
Au -0.2697 -6.3834 -3.5455
Au -3.1278 -1.0543 -3.8737
Au -3.3655 -4.7547 -6.0157
Au -0.0321 -2.6829 -1.4035
CELL_PARAMETERS angstrom
-5.3230 -0.0670 -5.7108
1.9255 -7.3707 -1.7083
-2.8153 -1.3474 2.6400
! N(E_F) ... 5.731 states/eV per cell
! Calculated volume ... 24.9 Å³/atom

#ii
! PBE As2Au2I, relaxed; values from VASP
&SYSTEM
  ibrav = 0, nat = 5, ntyp = 3
/
ATOMIC_SPECIES
As 74.92 As.upf
Au 196.97 Au.upf
I 126.90 I.upf
ATOMIC_POSITIONS angstrom
As -3.4070 5.0096 -0.2951
As -4.4408 3.3360 2.4375
Au -5.2156 5.6151 1.4659
Au -2.6322 2.7305 0.6765
I 0.0000 0.0000 0.0000
CELL_PARAMETERS angstrom
-2.0608 2.9404 -3.1276
-4.1284 -0.4069 2.3377
-1.6586 5.8121 2.9322
! N(E_F) ... 4.950 states/eV per cell
! Calculated volume ... 26.4 Å³/atom

#iii
! PBE As2Au2I, relaxed; values from VASP
&SYSTEM
  ibrav = 0, nat = 5, ntyp = 3
/
ATOMIC_SPECIES
As 74.92 As.upf
I 126.90 I.upf
Au 196.97 Au.upf
ATOMIC_POSITIONS angstrom
As -3.2794 -1.1801 -1.0709
As -7.4154 -1.9404 -1.8753
I 0.0000 0.0000 0.0000
Au -5.2792 -0.6562 -2.6785
Au -5.4157 -2.4644 -0.2677
CELL_PARAMETERS angstrom
-1.3718 -0.2400 -4.0325
-1.6448 -3.8565 0.7891
-7.6782 0.9759 0.2972
! N(E_F) ... 2.958 states/eV per cell
! Calculated volume ... 26.0 Å³/atom

It turns out #iii is the most stable, with the second structure 4.1 kJ/mol of atoms higher.